Run P
LiY2S3: optimized geometry, GGA-PBE.

Cell: 8.018 8.018 8.018 Å, 153.52 148.42 41.67°
Positions (direct):
Li (0.000, 0.000, 0.000)
Y (0.359, 0.359, 0.000)
Y (0.641, 0.641, 0.000)
S (0.173, 0.173, 0.000)
S (0.500, 0.000, 0.500)
S (0.827, 0.827, 0.000)

Run Q
LiY2S3: optimized geometry, GGA-PBE.

Cell: 8.695 8.695 8.695 Å, 154.14 154.14 36.90°
Positions (direct):
Li (0.000, 0.000, 0.000)
Y (0.340, 0.340, 0.000)
Y (0.660, 0.660, 0.000)
S (0.167, 0.167, 0.000)
S (0.500, 0.500, 0.000)
S (0.833, 0.833, 0.000)

It is run Q that is the most stable of them.

Run P
LiZrZn2S: optimized geometry, GGA-PBE.

Cell: 4.787 4.787 4.163 Å, 90.00 90.00 90.00°
Positions (direct):
Li (0.000, 0.000, 0.000)
Zr (0.500, 0.500, 0.000)
Zn (0.000, 0.500, 0.500)
Zn (0.500, 0.000, 0.500)
S (0.000, 0.000, 0.500)

Run Q
LiZrZn2S: optimized geometry, GGA-PBE.

Cell: 4.435 4.435 4.286 Å, 90.00 90.00 90.00°
Positions (direct):
Li (0.000, 0.000, 0.000)
Zr (0.500, 0.500, 0.500)
Zn (0.000, 0.500, 0.000)
Zn (0.500, 0.000, 0.000)
S (0.000, 0.000, 0.500)

It is run Q that is the most stable of them.